(1)
Computed, not measured: a PBEsol-optimized structure of CaOsSe3 at the SCAN level of DFT.

Cell: 4.9144 4.9144 4.9144 Å, 90.00 90.00 90.00°
With the nearest neighbours (Å) after each atom.
Space group Pm-3m (No. 221)
Inequivalent atoms, fractional coordinates:
Ca: 0.0000 0.0000 0.0000 x1  12 Se 3.47
Os: 0.5000 0.5000 0.5000 x1  6 Se 2.46
Se: 0.0000 0.5000 0.5000 x3  2 Os 2.46

total moment	2.55	μB per cell
raw formation energy	-0.229	eV per atom



(2)
Computed, not measured: a PBEsol-optimized structure of CaOsSe at the SCAN level of DFT.

Cell: 3.1273 3.1273 11.4463 Å, 90.00 90.00 90.00°
With the nearest neighbours (Å) after each atom.
Space group I4mm (No. 107)
Inequivalent atoms, fractional coordinates:
Ca: 0.0000 0.0000 0.0000 x2  4 Os 3.08, 4 Ca 3.13, 5 Se 3.21-3.40
Os: 0.0000 0.0000 0.6868 x2  4 Se 2.55
Se: 0.0000 0.0000 0.2969 x2  4 Os 2.55

total moment	0.00	μB per cell
raw formation energy	-0.002	eV per atom



(3)
Computed, not measured: a PBEsol-optimized structure of Ca2OsSe at the SCAN level of DFT.

Cell: 3.5738 3.5738 6.4259 Å, 90.00 90.00 90.00°
With the nearest neighbours (Å) after each atom.
Space group P4/mmm (No. 123)
Inequivalent atoms, fractional coordinates:
Ca: 0.0000 0.0000 0.2502 x2  4 Se 2.99, 4 Os 2.99, 2 Ca 3.21
Os: 0.5000 0.5000 0.0000 x1  8 Ca 2.99, 2 Se 3.21
Se: 0.5000 0.5000 0.5000 x1  8 Ca 2.99, 2 Os 3.21

total moment	0.00	μB per cell
raw formation energy	-0.387	eV per atom



(4)
Computed, not measured: a PBEsol-optimized structure of Ca2OsSe at the SCAN level of DFT.

Cell: 4.0895 4.0895 5.9394 Å, 90.00 90.00 90.00°
With the nearest neighbours (Å) after each atom.
Space group P4mm (No. 99)
Inequivalent atoms, fractional coordinates:
Ca: 0.0000 0.0000 0.0000 x1  4 Se 2.91, 2 Os 2.97
Ca: 0.5000 0.5000 0.4379 x1  4 Os 2.92, 2 Se 2.97
Os: 0.0000 0.0000 0.5008 x1  6 Ca 2.92-2.97
Se: 0.5000 0.5000 0.9386 x1  6 Ca 2.91-2.97

total moment	2.00	μB per cell
raw formation energy	-0.130	eV per atom



(5)
Computed, not measured: a PBEsol-optimized structure of CaOsSe at the SCAN level of DFT.

Cell: 4.1181 4.1181 4.2548 Å, 90.00 90.00 120.00°
With the nearest neighbours (Å) after each atom.
Space group P-6m2 (No. 187)
Inequivalent atoms, fractional coordinates:
Ca: 0.0000 0.0000 0.0000 x1  6 Os 3.19, 6 Se 3.19
Os: 0.3333 0.6667 0.5000 x1  3 Se 2.38
Se: 0.6667 0.3333 0.5000 x1  3 Os 2.38

total moment	0.00	μB per cell
raw formation energy	-0.224	eV per atom



(6)
Computed, not measured: a PBEsol-optimized structure of CaTc2OsSe at the SCAN level of DFT.

Cell: 4.5370 4.5370 4.6715 Å, 90.00 90.00 90.00°
With the nearest neighbours (Å) after each atom.
Space group P4/mmm (No. 123)
Inequivalent atoms, fractional coordinates:
Ca: 0.0000 0.0000 0.0000 x1  4 Tc 2.27, 2 Os 2.34
Tc: 0.0000 0.5000 0.0000 x2  2 Ca 2.27
Os: 0.0000 0.0000 0.5000 x1  2 Ca 2.34
Se: 0.5000 0.5000 0.5000 x1  4 Os 3.21, 8 Tc 3.26

total moment	3.11	μB per cell
raw formation energy	3.051	eV per atom



(7)
Computed, not measured: a PBEsol-optimized structure of CaTe2OsSe at the SCAN level of DFT.

Cell: 4.9527 4.9527 5.7805 Å, 90.00 90.00 90.00°
With the nearest neighbours (Å) after each atom.
Space group P4/mmm (No. 123)
Inequivalent atoms, fractional coordinates:
Ca: 0.0000 0.0000 0.0000 x1  2 Os 2.89
Te: 0.0000 0.5000 0.5000 x2  2 Os 2.48
Os: 0.0000 0.0000 0.5000 x1  4 Te 2.48
Se: 0.5000 0.5000 0.0000 x1  4 Ca 3.50, 8 Te 3.81

total moment	0.00	μB per cell
raw formation energy	0.041	eV per atom



(8)
Computed, not measured: a PBEsol-optimized structure of Ca2SiOs at the SCAN level of DFT.

Cell: 4.2003 4.2003 8.5643 Å, 90.00 90.00 90.00°
With the nearest neighbours (Å) after each atom.
Space group I4/mmm (No. 139)
Inequivalent atoms, fractional coordinates:
Ca: 0.0000 0.5000 0.2500 x4  4 Ca 2.97, 4 Si 3.00, 4 Os 3.00
Si: 0.0000 0.0000 0.0000 x2  4 Os 2.97, 8 Ca 3.00
Os: 0.0000 0.0000 0.5000 x2  4 Si 2.97, 8 Ca 3.00

total moment	0.00	μB per cell
raw formation energy	0.279	eV per atom



(9)
Computed, not measured: a PBEsol-optimized structure of Ca2SiOs at the SCAN level of DFT.

Cell: 3.1631 3.1631 27.9247 Å, 90.00 90.00 120.00°
With the nearest neighbours (Å) after each atom.
Space group R-3m (No. 166, hexagonal axes)
Inequivalent atoms, fractional coordinates:
Ca: 0.0000 0.0000 0.2461 x6  3 Os 2.87, 3 Si 3.04, 6 Ca 3.16
Si: 0.0000 0.0000 0.0000 x3  6 Ca 3.04, 6 Si 3.16
Os: 0.0000 0.0000 0.5000 x3  6 Ca 2.87, 6 Os 3.16

total moment	0.78	μB per cell
raw formation energy	0.472	eV per atom



(10)
Computed, not measured: a PBEsol-optimized structure of CaSn3Os at the SCAN level of DFT.

Cell: 5.3966 5.3966 5.3966 Å, 90.00 90.00 90.00°
With the nearest neighbours (Å) after each atom.
Space group Pm-3m (No. 221)
Inequivalent atoms, fractional coordinates:
Ca: 0.0000 0.0000 0.0000 x1  6 Sn 2.70
Sn: 0.0000 0.0000 0.5000 x3  2 Ca 2.70
Os: 0.5000 0.5000 0.5000 x1  12 Sn 3.82

total moment	2.25	μB per cell
calculated total energy	-35.880	eV/atom



(11)
Computed, not measured: a PBEsol-optimized structure of SrCa2Os at the SCAN level of DFT.

Cell: 3.5267 5.5448 12.4702 Å, 90.00 90.00 90.00°
With the nearest neighbours (Å) after each atom.
Space group Immm (No. 71)
Inequivalent atoms, fractional coordinates:
Sr: 0.0000 0.0000 0.0000 x2  4 Os 3.29, 2 Sr 3.53, 4 Ca 3.53
Ca: 0.0000 0.5000 0.1754 x4  2 Os 2.81
Os: 0.0000 0.0000 0.5000 x2  4 Ca 2.81

total moment	0.00	μB per cell
calculated total energy	-27.981	eV/atom



(12)
Computed, not measured: a PBEsol-optimized structure of Sr3CaOs at the SCAN level of DFT.

Cell: 5.8454 5.8454 5.8454 Å, 90.00 90.00 90.00°
With the nearest neighbours (Å) after each atom.
Space group Pm-3m (No. 221)
Inequivalent atoms, fractional coordinates:
Sr: 0.0000 0.0000 0.5000 x3  2 Os 2.92
Ca: 0.5000 0.5000 0.5000 x1  12 Sr 4.13
Os: 0.0000 0.0000 0.0000 x1  6 Sr 2.92

total moment	0.60	μB per cell
calculated total energy	-29.275	eV/atom